Record 1
# Li3HoU3Se8, relaxed, DFT PBE
# Density, kg/m3: 6795
# ΔE_f (raw), meV per atom: -1303
# Calculated total energy, eV per atom: -6.107
data_Li3HoU3Se8
_cell_length_a 8.1317
_cell_length_b 8.1317
_cell_length_c 19.6080
_cell_angle_alpha 90.00
_cell_angle_beta 90.00
_cell_angle_gamma 120.00
_space_group_name_H-M_alt 'R -3 m'
_space_group_IT_number 166
_space_group_name_Hall '-R 3 2"'
loop_
_atom_site_label
_atom_site_type_symbol
_atom_site_fract_x
_atom_site_fract_y
_atom_site_fract_z
Li1 Li 0.0000 0.5000 0.0000
Ho1 Ho 0.0000 0.0000 0.5000
U1 U 0.0000 0.5000 0.5000
Se1 Se 0.0000 0.0000 0.2531
Se2 Se 0.0016 0.5008 0.2503



Record 2
# LiHoU2Se4, relaxed, DFT PBE
# Density, kg/m3: 8594
# ΔE_f (raw), meV per atom: -1287
# Calculated total energy, eV per atom: -6.662
data_LiHoU2Se4
_cell_length_a 6.819
_cell_length_b 3.949
_cell_length_c 7.284
_cell_angle_alpha 90.00
_cell_angle_beta 108.31
_cell_angle_gamma 90.00
_space_group_name_H-M_alt 'P 1 2/m 1'
_space_group_IT_number 10
loop_
_space_group_symop_operation_xyz
'x,y,z'
'-x,-y,-z'
'-x,y,-z'
'x,-y,z'
loop_
_atom_site_label
_atom_site_type_symbol
_atom_site_fract_x
_atom_site_fract_y
_atom_site_fract_z
Li1 Li 0.000 0.000 0.000
Ho1 Ho 0.500 0.500 0.000
U1 U 0.000 0.500 0.500
U2 U 0.500 0.000 0.500
Se1 Se 0.239 0.500 0.234
Se2 Se 0.246 0.000 0.762



Record 3
# LiHoUSe3, relaxed, DFT PBE
# Density, kg/m3: 7630
# ΔE_f (raw), meV per atom: -1318
# Calculated total energy, eV per atom: -6.023
data_LiHoUSe3
_cell_length_a 8.441
_cell_length_b 3.912
_cell_length_c 8.773
_cell_angle_alpha 90.00
_cell_angle_beta 103.62
_cell_angle_gamma 90.00
_space_group_name_H-M_alt 'P 1 21/m 1'
_space_group_IT_number 11
loop_
_space_group_symop_operation_xyz
'x,y,z'
'-x,-y,-z'
'-x,y+1/2,-z'
'x,-y+1/2,z'
loop_
_atom_site_label
_atom_site_type_symbol
_atom_site_fract_x
_atom_site_fract_y
_atom_site_fract_z
Li1 Li 0.086 0.250 0.080
Ho1 Ho 0.335 0.750 0.336
U1 U 0.177 0.250 0.713
Se1 Se 0.097 0.250 0.365
Se2 Se 0.225 0.750 0.991
Se3 Se 0.426 0.750 0.674



Record 4
# Li3Ho3USe8, relaxed, DFT PBE
# Density, kg/m3: 6160
# ΔE_f (raw), meV per atom: -1566
# Calculated total energy, eV per atom: -5.475
data_Li3Ho3USe8
_cell_length_a 8.1477
_cell_length_b 8.1477
_cell_length_c 19.4878
_cell_angle_alpha 90.00
_cell_angle_beta 90.00
_cell_angle_gamma 120.00
_space_group_name_H-M_alt 'R -3 m'
_space_group_IT_number 166
_space_group_name_Hall '-R 3 2"'
loop_
_atom_site_label
_atom_site_type_symbol
_atom_site_fract_x
_atom_site_fract_y
_atom_site_fract_z
Li1 Li 0.0000 0.5000 0.0000
Ho1 Ho 0.0000 0.5000 0.5000
U1 U 0.0000 0.0000 0.5000
Se1 Se 0.0000 0.0000 0.2507
Se2 Se 0.0023 0.5012 0.2492



Record 5
# Li3Ho2USe6, relaxed, DFT PBE
# Density, kg/m3: 6307
# ΔE_f (raw), meV per atom: -1501
# Calculated total energy, eV per atom: -5.425
data_Li3Ho2USe6
_cell_length_a 7.038
_cell_length_b 12.188
_cell_length_c 6.930
_cell_angle_alpha 90.00
_cell_angle_beta 109.78
_cell_angle_gamma 90.00
_space_group_name_H-M_alt 'C 1 2/m 1'
_space_group_IT_number 12
loop_
_space_group_symop_operation_xyz
'x,y,z'
'-x,-y,-z'
'-x,y,-z'
'x,-y,z'
'x+1/2,y+1/2,z'
'-x+1/2,-y+1/2,-z'
'-x+1/2,y+1/2,-z'
'x+1/2,-y+1/2,z'
loop_
_atom_site_label
_atom_site_type_symbol
_atom_site_fract_x
_atom_site_fract_y
_atom_site_fract_z
Li1 Li 0.000 0.000 0.000
Li2 Li 0.000 0.332 0.000
Ho1 Ho 0.000 0.167 0.500
U1 U 0.000 0.500 0.500
Se1 Se 0.246 0.169 0.245
Se2 Se 0.248 0.000 0.756



Record 6
# Li2Ho2USe6, relaxed, DFT PBE
# Density, kg/m3: 6233
# ΔE_f (raw), meV per atom: -1519
# Calculated total energy, eV per atom: -5.626
data_Li2Ho2USe6
_cell_length_a 7.077
_cell_length_b 12.254
_cell_length_c 6.893
_cell_angle_alpha 90.00
_cell_angle_beta 109.80
_cell_angle_gamma 90.00
_space_group_name_H-M_alt 'C 1 2/m 1'
_space_group_IT_number 12
loop_
_space_group_symop_operation_xyz
'x,y,z'
'-x,-y,-z'
'-x,y,-z'
'x,-y,z'
'x+1/2,y+1/2,z'
'-x+1/2,-y+1/2,-z'
'-x+1/2,y+1/2,-z'
'x+1/2,-y+1/2,z'
loop_
_atom_site_label
_atom_site_type_symbol
_atom_site_fract_x
_atom_site_fract_y
_atom_site_fract_z
Li1 Li 0.000 0.168 0.000
Ho1 Ho 0.000 0.334 0.500
U1 U 0.000 0.000 0.500
Se1 Se 0.245 0.000 0.253
Se2 Se 0.245 0.168 0.748



Record 7
# LiHoUSe4, relaxed, DFT PBE
# Density, kg/m3: 6034
# ΔE_f (raw), meV per atom: -1440
# Calculated total energy, eV per atom: -5.971
data_LiHoUSe4
_cell_length_a 8.207
_cell_length_b 8.354
_cell_length_c 11.653
_cell_angle_alpha 90.00
_cell_angle_beta 90.00
_cell_angle_gamma 90.00
_space_group_name_H-M_alt 'I m m a'
_space_group_IT_number 74
_space_group_name_Hall '-I 2b 2'
loop_
_atom_site_label
_atom_site_type_symbol
_atom_site_fract_x
_atom_site_fract_y
_atom_site_fract_z
Li1 Li 0.000 0.250 0.131
Ho1 Ho 0.250 0.250 0.750
U1 U 0.000 0.000 0.500
Se1 Se 0.000 0.012 0.742
Se2 Se 0.237 0.250 0.504



Record 8
# Li2YHo3Se6, relaxed, DFT PBE
# Density, kg/m3: 6413
# ΔE_f (raw), meV per atom: -1727
# Calculated total energy, eV per atom: -5.472
data_Li2YHo3Se6
_cell_length_a 6.974
_cell_length_b 12.074
_cell_length_c 6.988
_cell_angle_alpha 90.00
_cell_angle_beta 109.45
_cell_angle_gamma 90.00
_space_group_name_H-M_alt 'C 1 2/m 1'
_space_group_IT_number 12
loop_
_space_group_symop_operation_xyz
'x,y,z'
'-x,-y,-z'
'-x,y,-z'
'x,-y,z'
'x+1/2,y+1/2,z'
'-x+1/2,-y+1/2,-z'
'-x+1/2,y+1/2,-z'
'x+1/2,-y+1/2,z'
loop_
_atom_site_label
_atom_site_type_symbol
_atom_site_fract_x
_atom_site_fract_y
_atom_site_fract_z
Li1 Li 0.000 0.168 0.000
Y1 Y 0.000 0.500 0.000
Ho1 Ho 0.000 0.000 0.500
Ho2 Ho 0.000 0.334 0.500
Se1 Se 0.242 0.000 0.244
Se2 Se 0.249 0.170 0.756